Record 1
Tl2S | PBE | relaxed

Unit cell a=4.1779 b=4.1779 c=13.0729 alpha=90.00 beta=90.00 gamma=118.44
Fractional coordinates of all 6 atoms:
Tl (0.1648, 0.3352, 0.6279)
Tl (0.3352, 0.1648, 0.1279)
Tl (0.8352, 0.6648, 0.3721)
Tl (0.6648, 0.8352, 0.8721)
S (0.5000, 0.0000, 0.5000)
S (0.0000, 0.5000, 0.0000)

## Properties
Formation energy (no corrections), meV per atom: -337
Crystal system: orthorhombic

***

Record 2
LaNdEr2Se4 | PBE | relaxed

Unit cell a=4.0732 b=7.4080 c=7.0872 alpha=71.51 beta=90.00 gamma=90.00
Fractional coordinates of all 8 atoms:
Er (0.5000, 0.0000, 0.5000)
Er (0.0000, 0.0000, 0.0000)
Se (0.0000, 0.2282, 0.2593)
Se (0.0000, 0.7718, 0.7407)
Se (0.5000, 0.2298, 0.7552)
Se (0.5000, 0.7702, 0.2448)
Nd (0.0000, 0.5000, 0.5000)
La (0.5000, 0.5000, 0.0000)

## Properties
Formation energy (no corrections), meV per atom: -1816
Crystal system: monoclinic

***

Record 3
Ba2Mg4Ga3Hg | PBE | relaxed

Unit cell a=4.9122 b=4.9122 c=11.2611 alpha=90.00 beta=90.00 gamma=90.00
Fractional coordinates of all 10 atoms:
Ga (0.0000, 0.0000, 0.5000)
Ga (0.0000, 0.5000, 0.1295)
Ga (0.5000, 0.0000, 0.8705)
Mg (0.5000, 0.0000, 0.6266)
Mg (0.5000, 0.5000, 0.0000)
Mg (0.0000, 0.0000, 0.0000)
Mg (0.0000, 0.5000, 0.3734)
Ba (0.5000, 0.0000, 0.2510)
Ba (0.0000, 0.5000, 0.7490)
Hg (0.5000, 0.5000, 0.5000)

## Properties
Raw total energy, eV per atom: -2.245
Crystal system: tetragonal

***

Record 4
Mn2ReSb | PBE | relaxed

Unit cell a=4.6380 b=4.6380 c=4.6033 alpha=77.45 beta=77.45 gamma=39.15
Fractional coordinates of all 4 atoms:
Re (0.7500, 0.7500, 0.7500)
Mn (0.0039, 0.0039, 0.9797)
Mn (0.4961, 0.4961, 0.5203)
Sb (0.2500, 0.2500, 0.2500)

## Properties
Formation energy (no corrections), meV per atom: 393
Crystal system: monoclinic

***

Record 5
LiCuRh6 | PBE | relaxed

Unit cell a=4.5079 b=5.1739 c=6.4978 alpha=55.43 beta=69.70 gamma=64.17
Fractional coordinates of all 8 atoms:
Rh (0.7511, 0.1224, 0.3754)
Rh (0.7504, 0.6249, 0.8743)
Rh (0.2489, 0.8776, 0.6246)
Rh (0.5011, 0.7465, 0.2513)
Rh (0.4989, 0.2535, 0.7487)
Rh (0.2496, 0.3751, 0.1257)
Li (0.0000, 0.0000, 0.0000)
Cu (0.0000, 0.5000, 0.5000)

## Properties
Raw total energy, eV per atom: -6.179
Crystal system: monoclinic